Ca2AgH: relaxed, GGA-PBE.

a = 5.105 Å, b = 5.105 Å, c = 5.105 Å
α = 60.00°, β = 60.00°, γ = 60.00°
Sites, in units of the cell vectors:
Ca  0.750  0.750  0.750
Ca  0.250  0.250  0.250
Ag  0.500  0.500  0.500
H  0.000  0.000  0.000

The calculation puts the mass density at 3.337 g/cm3. The relative energy among the computed polymorphs comes out at 34.5 kJ/mol of atoms. The total energy is -0.1866 Ry per atom.

=====

PrInIrAu: relaxed, GGA-PBE.

a = 4.963 Å, b = 4.963 Å, c = 4.963 Å
α = 60.00°, β = 60.00°, γ = 60.00°
Sites, in units of the cell vectors:
Pr  0.750  0.750  0.750
Au  0.000  0.000  0.000
In  0.250  0.250  0.250
Ir  0.500  0.500  0.500

The calculation puts the mass density at 12.391 g/cm3. The total energy is -0.3890 Ry per atom. As for the formation energy from the elements: -1.51 eV/f.u.

=====

BeCrP: relaxed, GGA-PBE.

a = 4.195 Å, b = 4.195 Å, c = 4.195 Å
α = 139.51°, β = 139.51°, γ = 58.60°
Sites, in units of the cell vectors:
P  0.667  0.667  0.000
Cr  0.330  0.330  0.000
Be  0.003  0.003  0.000

The calculation puts the mass density at 4.953 g/cm3. The relative energy among the computed polymorphs comes out at 9.8 kJ/mol of atoms. The total energy is -0.4796 Ry per atom. As for the formation energy from the elements: -0.82 eV/f.u.

=====

Ti3PtO: relaxed, GGA-PBE.

a = 3.759 Å, b = 6.182 Å, c = 6.830 Å
α = 90.00°, β = 90.06°, γ = 90.00°
Sites, in units of the cell vectors:
Ti  0.251  0.250  0.436
Ti  0.750  0.004  0.146
Ti  0.250  0.996  0.854
Ti  0.250  0.504  0.854
Ti  0.750  0.496  0.146
Ti  0.749  0.750  0.564
O  0.751  0.250  0.320
O  0.249  0.750  0.680
Pt  0.250  0.750  0.234
Pt  0.750  0.250  0.766

The energy relative to the elements, uncorrected comes out at -1177 meV/atom. The calculation puts the mass density at 7.421 g/cm3. The total energy is -0.5964 Ry per atom.

=====

Rb2Pu2TiS6: relaxed, GGA-PBE.

a = 6.725 Å, b = 6.725 Å, c = 8.164 Å
α = 98.13°, β = 98.13°, γ = 119.47°
Sites, in units of the cell vectors:
S  0.245  0.245  0.320
S  0.755  0.755  0.680
S  0.628  0.938  0.319
S  0.062  0.372  0.681
S  0.938  0.628  0.319
S  0.372  0.062  0.681
Rb  0.830  0.170  0.000
Rb  0.170  0.830  0.000
Ti  0.000  0.000  0.500
Pu  0.334  0.666  0.500
Pu  0.666  0.334  0.500

The energy relative to the elements, uncorrected comes out at -1487 meV/atom. The calculation puts the mass density at 4.839 g/cm3. The total energy is -0.5320 Ry per atom.

=====

Hg3HPd: relaxed, GGA-PBE.

a = 6.162 Å, b = 6.162 Å, c = 7.040 Å
α = 120.05°, β = 111.14°, γ = 90.91°
Sites, in units of the cell vectors:
Hg  0.750  0.610  0.725
Hg  0.722  0.367  0.089
Hg  0.886  0.025  0.275
Hg  0.250  0.390  0.275
Hg  0.114  0.975  0.725
Hg  0.278  0.633  0.911
Pd  0.399  0.205  0.605
Pd  0.601  0.795  0.395
H  0.621  0.051  0.673
H  0.379  0.949  0.327

The calculation puts the mass density at 11.253 g/cm3. The relative energy among the computed polymorphs comes out at 0.0 kJ/mol of atoms. The total energy is -0.1368 Ry per atom.

=====

Tb12PrTm6: relaxed, GGA-PBE.

a = 8.507 Å, b = 8.507 Å, c = 8.507 Å
α = 88.52°, β = 88.52°, γ = 88.52°
Sites, in units of the cell vectors:
Tm  0.096  0.691  0.257
Tm  0.743  0.904  0.309
Tm  0.691  0.257  0.096
Tm  0.904  0.309  0.743
Tm  0.309  0.743  0.904
Tm  0.257  0.096  0.691
Tb  0.224  0.458  0.566
Tb  0.989  0.795  0.641
Tb  0.795  0.641  0.989
Tb  0.566  0.224  0.458
Tb  0.359  0.011  0.205
Tb  0.776  0.542  0.434
Tb  0.011  0.205  0.359
Tb  0.458  0.566  0.224
Tb  0.542  0.434  0.776
Tb  0.434  0.776  0.542
Tb  0.205  0.359  0.011
Tb  0.641  0.989  0.795
Pr  0.000  0.000  0.000

The calculation puts the mass density at 8.265 g/cm3. The relative energy among the computed polymorphs comes out at 0.0 kJ/mol of atoms. The total energy is -0.3260 Ry per atom. As for the formation energy from the elements: 2.89 eV/f.u.

=====

MgCuPt2: relaxed, GGA-PBE.

a = 3.260 Å, b = 3.260 Å, c = 5.736 Å
α = 90.00°, β = 90.00°, γ = 90.00°
Sites, in units of the cell vectors:
Pt  0.500  0.500  0.276
Pt  0.000  0.000  0.988
Mg  0.500  0.500  0.747
Cu  0.000  0.000  0.489

The calculation puts the mass density at 13.024 g/cm3. The total energy is -0.3498 Ry per atom. As for the formation energy from the elements: -1.26 eV/f.u.

=====

ZrNbV4: relaxed, GGA-PBE.

a = 5.131 Å, b = 5.131 Å, c = 5.131 Å
α = 60.00°, β = 60.00°, γ = 60.00°
Sites, in units of the cell vectors:
V  0.625  0.625  0.625
V  0.625  0.125  0.625
V  0.625  0.625  0.125
V  0.125  0.625  0.625
Zr  0.000  0.000  0.000
Nb  0.250  0.250  0.250

The calculation puts the mass density at 6.744 g/cm3. The total energy is -0.6746 Ry per atom. As for the formation energy from the elements: 0.02 eV/f.u.

=====

PmEr3Ga4: relaxed, GGA-PBE.

a = 5.055 Å, b = 7.137 Å, c = 10.111 Å
α = 90.00°, β = 90.00°, γ = 90.00°
Sites, in units of the cell vectors:
Ga  0.999  0.758  0.250
Ga  0.500  0.242  0.500
Ga  0.500  0.758  0.500
Ga  0.001  0.758  0.750
Ga  0.999  0.242  0.250
Ga  0.500  0.242  0.000
Ga  0.500  0.758  0.000
Ga  0.001  0.242  0.750
Er  0.000  0.000  0.500
Er  0.501  0.000  0.750
Er  0.499  0.000  0.250
Er  0.499  0.500  0.250
Er  0.000  0.000  0.000
Er  0.501  0.500  0.750
Pm  0.000  0.500  0.000
Pm  0.000  0.500  0.500

The calculation puts the mass density at 8.428 g/cm3. The relative energy among the computed polymorphs comes out at 0.0 kJ/mol of atoms. The total energy is -0.3226 Ry per atom. As for the formation energy from the elements: -4.57 eV/f.u.

=====

Cs12Hg3O5: relaxed, GGA-PBE.

a = 16.674 Å, b = 16.674 Å, c = 16.674 Å
α = 109.47°, β = 109.47°, γ = 109.47°
Sites, in units of the cell vectors:
Cs  0.816  0.903  0.008
Cs  0.395  0.403  0.087
Cs  0.895  0.308  0.492
Cs  0.808  0.316  0.913
Cs  0.587  0.895  0.403
Cs  0.684  0.192  0.587
Cs  0.903  0.816  0.508
Cs  0.492  0.808  0.895
Cs  0.413  0.105  0.597
Cs  0.492  0.684  0.097
Cs  0.605  0.008  0.192
Cs  0.808  0.492  0.395
Cs  0.597  0.992  0.684
Cs  0.587  0.692  0.684
Cs  0.992  0.395  0.308
Cs  0.403  0.008  0.316
Cs  0.692  0.587  0.184
Cs  0.992  0.597  0.184
Cs  0.008  0.403  0.816
Cs  0.816  0.913  0.308
Cs  0.413  0.308  0.316
Cs  0.087  0.184  0.192
Cs  0.913  0.816  0.808
Cs  0.508  0.192  0.105
Cs  0.316  0.508  0.403
Cs  0.692  0.105  0.008
Cs  0.105  0.413  0.097
Cs  0.684  0.492  0.597
Cs  0.403  0.395  0.587
Cs  0.316  0.808  0.413
Cs  0.087  0.903  0.395
Cs  0.192  0.508  0.605
Cs  0.308  0.413  0.816
Cs  0.605  0.597  0.913
Cs  0.192  0.684  0.087
Cs  0.097  0.184  0.492
Cs  0.913  0.097  0.605
Cs  0.395  0.992  0.808
Cs  0.105  0.692  0.508
Cs  0.508  0.316  0.903
Cs  0.008  0.605  0.692
Cs  0.895  0.587  0.903
Cs  0.184  0.097  0.992
Cs  0.308  0.895  0.992
Cs  0.903  0.087  0.895
Cs  0.184  0.087  0.692
Cs  0.097  0.913  0.105
Cs  0.597  0.605  0.413
Hg  0.750  0.875  0.625
Hg  0.875  0.750  0.125
Hg  0.125  0.875  0.750
Hg  0.375  0.750  0.625
Hg  0.375  0.625  0.250
Hg  0.250  0.625  0.875
Hg  0.125  0.250  0.875
Hg  0.875  0.125  0.250
Hg  0.625  0.250  0.375
Hg  0.250  0.125  0.375
Hg  0.625  0.375  0.750
Hg  0.750  0.375  0.125
O  0.125  0.375  0.250
O  0.500  0.000  0.000
O  0.125  0.750  0.375
O  0.875  0.625  0.750
O  0.500  0.500  0.000
O  0.000  0.000  0.500
O  0.625  0.750  0.875
O  0.250  0.875  0.125
O  0.625  0.875  0.250
O  0.375  0.250  0.125
O  0.000  0.500  0.500
O  0.000  0.500  0.000
O  0.250  0.375  0.625
O  0.000  0.000  0.000
O  0.375  0.125  0.750
O  0.750  0.125  0.875
O  0.875  0.250  0.625
O  0.750  0.625  0.375
O  0.500  0.500  0.500
O  0.500  0.000  0.500

The energy relative to the elements, uncorrected comes out at -670 meV/atom. The calculation puts the mass density at 4.237 g/cm3. The total energy is -0.1813 Ry per atom.

=====

MnTlAg2: relaxed, GGA-PBE.

a = 4.748 Å, b = 3.099 Å, c = 5.215 Å
α = 90.00°, β = 90.00°, γ = 90.00°
Sites, in units of the cell vectors:
Ag  0.500  0.375  0.205
Ag  0.000  0.875  0.057
Tl  0.500  0.875  0.698
Mn  0.000  0.375  0.539

The calculation puts the mass density at 10.280 g/cm3. The relative energy among the computed polymorphs comes out at 4.1 kJ/mol of atoms. The total energy is -0.2956 Ry per atom. As for the formation energy from the elements: 1.15 eV/f.u.

=====

Ti3SnRh: relaxed, GGA-PBE.

a = 4.716 Å, b = 4.716 Å, c = 4.716 Å
α = 90.00°, β = 90.00°, γ = 90.00°
Sites, in units of the cell vectors:
Ti  0.500  0.000  0.000
Ti  0.000  0.000  0.500
Ti  0.000  0.500  0.000
Rh  0.000  0.000  0.000
Sn  0.500  0.500  0.500

The calculation puts the mass density at 5.783 g/cm3. The relative energy among the computed polymorphs comes out at 36.5 kJ/mol of atoms. The total energy is -0.5088 Ry per atom. As for the formation energy from the elements: 0.43 eV/f.u.

=====

LaBeRh2: relaxed, GGA-PBE.

a = 3.572 Å, b = 3.006 Å, c = 6.279 Å
α = 84.46°, β = 90.00°, γ = 90.00°
Sites, in units of the cell vectors:
Rh  0.000  0.994  0.060
Rh  0.000  0.506  0.440
La  0.500  0.750  0.750
Be  0.500  0.250  0.250

The calculation puts the mass density at 8.752 g/cm3. The total energy is -0.4533 Ry per atom. As for the formation energy from the elements: -1.31 eV/f.u.

=====

RbNiPt: relaxed, GGA-PBE.

a = 4.469 Å, b = 5.068 Å, c = 6.121 Å
α = 77.66°, β = 89.86°, γ = 89.99°
Sites, in units of the cell vectors:
Rb  0.250  0.245  0.543
Rb  0.750  0.755  0.457
Ni  0.250  0.113  0.039
Ni  0.750  0.887  0.961
Pt  0.250  0.638  0.992
Pt  0.750  0.362  0.008

The calculation puts the mass density at 8.320 g/cm3. The relative energy among the computed polymorphs comes out at 0.0 kJ/mol of atoms. The total energy is -0.3107 Ry per atom. As for the formation energy from the elements: 0.11 eV/f.u.

=====

NdHo2TmBi4: relaxed, GGA-PBE.

a = 4.496 Å, b = 7.782 Å, c = 7.779 Å
α = 70.51°, β = 90.00°, γ = 90.00°
Sites, in units of the cell vectors:
Bi  0.000  0.756  0.743
Bi  0.500  0.248  0.745
Bi  0.000  0.244  0.257
Bi  0.500  0.752  0.255
Ho  0.500  0.000  0.500
Ho  0.000  0.000  0.000
Tm  0.000  0.500  0.500
Nd  0.500  0.500  0.000

The calculation puts the mass density at 9.570 g/cm3. The total energy is -0.3737 Ry per atom. As for the formation energy from the elements: -6.75 eV/f.u.

=====

LiCaPm2Hg4: relaxed, GGA-PBE.

a = 5.254 Å, b = 5.254 Å, c = 9.097 Å
α = 73.22°, β = 73.22°, γ = 60.00°
Sites, in units of the cell vectors:
Ca  0.000  0.000  0.000
Hg  0.874  0.874  0.377
Hg  0.622  0.622  0.135
Hg  0.126  0.126  0.623
Hg  0.378  0.378  0.865
Pm  0.753  0.753  0.742
Pm  0.247  0.247  0.258
Li  0.500  0.500  0.500

The calculation puts the mass density at 9.230 g/cm3. The total energy is -0.1698 Ry per atom. As for the formation energy from the elements: -3.86 eV/f.u.

=====

BaCaHg2: relaxed, GGA-PBE.

a = 6.527 Å, b = 6.527 Å, c = 5.224 Å
α = 89.98°, β = 89.98°, γ = 37.96°
Sites, in units of the cell vectors:
Ba  0.482  0.482  0.375
Hg  0.208  0.208  0.375
Hg  0.050  0.050  0.875
Ca  0.759  0.759  0.875

The calculation puts the mass density at 7.017 g/cm3. The total energy is -0.1170 Ry per atom. As for the formation energy from the elements: -1.84 eV/f.u.

=====

Sc3TlO: relaxed, GGA-PBE.

a = 4.462 Å, b = 6.340 Å, c = 7.974 Å
α = 90.00°, β = 106.00°, γ = 90.00°
Sites, in units of the cell vectors:
Sc  0.431  0.250  0.368
Sc  0.818  0.007  0.138
Sc  0.182  0.993  0.862
Sc  0.818  0.493  0.138
Sc  0.182  0.507  0.862
Sc  0.569  0.750  0.632
Tl  0.627  0.250  0.749
Tl  0.373  0.750  0.251
O  0.904  0.250  0.311
O  0.096  0.750  0.689

The energy relative to the elements, uncorrected comes out at -1137 meV/atom. The calculation puts the mass density at 5.441 g/cm3. The total energy is -0.4705 Ry per atom.